! MgCo2O4 | Alexandria | GGA+U | relaxed; values from VASP
! distance to the lowest polymorph of the same formula = 219 meV/atom
! symmetry = C2/m, No. 12
&SYSTEM
  ibrav = 0, nat = 14, ntyp = 3
/
ATOMIC_SPECIES
Mg 24.30 Mg.upf
Co 58.93 Co.upf
O 16.00 O.upf
CELL_PARAMETERS angstrom
3.5405 -5.3207 -2.8712
4.3727 -3.1125 -4.5035
8.6196 -2.3908 1.1599
ATOMIC_POSITIONS angstrom
Mg 3.9752 -3.1426 -2.2249
Mg 12.5576 -7.6815 -3.9899
Co 6.6020 -5.7867 -4.4628
Co 5.6762 -2.4833 -0.4658
Co 10.8566 -8.3408 -5.7490
Co 9.9308 -5.0374 -1.7520
O 12.7182 -8.9391 -5.6093
O 6.3302 -4.6255 -3.0303
O 10.2026 -6.1986 -3.1844
O 3.8146 -1.8850 -0.6054
O 1.3357 -1.4010 -1.2144
O 9.2460 -7.4185 -5.3223
O 15.1971 -9.4231 -5.0004
O 7.2868 -3.4056 -0.8924